TlInSb2I | PBE | optimized geometry

Cell: 5.6372 5.6372 6.3556 Å, 90.00 90.00 90.00°
Closest atoms and distances in Å follow each position.
Fractional positions:
Tl  0.5000  0.5000  0.5000  4 I 3.99, 8 Sb 4.25
I  0.0000  0.0000  0.5000  2 In 3.18
In  0.0000  0.0000  0.0000  4 Sb 2.82
Sb  0.5000  0.0000  0.0000  2 In 2.82
Sb  0.0000  0.5000  0.0000  2 In 2.82

Computed properties:
* crystal system: tetragonal
* calculated total energy: -2.662 eV/atom
* calculated volume: 40.4 Å³ per atom